No. 1
The following is a DFT calculation (PBE-GGA) of a relaxed FePOs2Au crystal.

Output
Relative energy among the computed polymorphs ... 0.016 eV/atom
M_tot ... 0.0 μB per formula unit
Volume ... 14.50 Å³ per atom
Calculated formation energy ... 0.0958 eV/atom

Cell lengths 2.7814, 2.7814, 9.3704 Å; angles 90.00, 90.00, 90.00 degrees
With the nearest neighbours (Å) after each atom.
Space group P4mm (No. 99)
Unique sites:
Fe: 0.0000 0.0000 0.0000 (multiplicity 1)  4 P 2.27
P: 0.5000 0.5000 0.8784 (multiplicity 1)  4 Fe 2.27, 1 Os 2.36
Os: 0.0000 0.0000 0.4495 (multiplicity 1)  8 Os 2.57-2.78
Os: 0.5000 0.5000 0.6264 (multiplicity 1)  1 P 2.36, 4 Os 2.57
Au: 0.5000 0.5000 0.2164 (multiplicity 1)  4 Au 2.78, 4 Fe 2.82, 4 Os 2.94

=====

No. 2
The following is a DFT calculation (PBE-GGA) of a relaxed Cr2PbNCl crystal.

Output
M_tot ... 9.4 μB per formula unit
Volume ... 23.34 Å³ per atom
Formation energy from raw total energies ... 1.60 eV per atom

Cell lengths 4.4180, 4.4180, 5.9797 Å; angles 90.00, 90.00, 90.00 degrees
With the nearest neighbours (Å) after each atom.
Space group P4/mmm (No. 123)
Unique sites:
Cr: 0.0000 0.5000 0.0000 (multiplicity 2)  2 Cl 2.21
Pb: 0.0000 0.0000 0.5000 (multiplicity 1)  2 Cl 2.99, 4 N 3.12
N: 0.5000 0.5000 0.5000 (multiplicity 1)  4 Pb 3.12
Cl: 0.0000 0.0000 0.0000 (multiplicity 1)  4 Cr 2.21

=====

No. 3
The following is a DFT calculation (PBE-GGA) of a relaxed MgPPt3 crystal.

Output
Relative energy among the computed polymorphs ... 0.346 eV/atom
M_tot ... 0.0 μB per formula unit
Volume ... 18.50 Å³ per atom
Calculated formation energy ... -0.2502 eV/atom

Cell lengths 4.5229, 4.5229, 4.5229 Å; angles 90.00, 90.00, 90.00 degrees
With the nearest neighbours (Å) after each atom.
Space group Pm-3m (No. 221)
Unique sites:
Mg: 0.0000 0.0000 0.0000 (multiplicity 1)  12 Pt 3.20
P: 0.5000 0.5000 0.5000 (multiplicity 1)  6 Pt 2.26
Pt: 0.0000 0.5000 0.5000 (multiplicity 3)  2 P 2.26

=====

No. 4
The following is a DFT calculation (PBE-GGA) of a relaxed Ce2Ga5Ag3 crystal.

Output
M_tot ... 1.7 μB per formula unit
Volume ... 20.55 Å³ per atom
Calculated formation energy ... -0.3640 eV/atom

Cell lengths 10.5444, 12.6724, 6.1512 Å; angles 90.00, 90.00, 90.00 degrees
With the nearest neighbours (Å) after each atom.
Space group Ibam (No. 72)
Unique sites:
Ce: 0.2328 0.1287 0.0000 (multiplicity 8)  10 Ga 3.29-3.47, 7 Ag 3.35-3.64
Ga: 0.0000 0.0000 0.2500 (multiplicity 4)  4 Ag 2.60
Ga: 0.0000 0.2794 0.2500 (multiplicity 8)  3 Ag 2.61-2.80, 2 Ga 2.62
Ga: 0.1553 0.3862 0.0000 (multiplicity 8)  3 Ag 2.51-2.67, 2 Ga 2.62
Ag: 0.0000 0.5000 0.2500 (multiplicity 4)  6 Ga 2.67-2.80
Ag: 0.1085 0.1392 0.5000 (multiplicity 8)  5 Ga 2.51-2.61

=====

No. 5
The following is a DFT calculation (PBE-GGA) of a relaxed MgNpNiRu crystal.

Output
M_tot ... 2.9 μB per formula unit
Volume ... 16.88 Å³ per atom
Calculated formation energy ... -0.0118 eV/atom

Cell lengths 6.4642, 6.4642, 6.4642 Å; angles 90.00, 90.00, 90.00 degrees
With the nearest neighbours (Å) after each atom.
Space group F-43m (No. 216)
Unique sites:
Mg: 0.0000 0.0000 0.0000 (multiplicity 4)  4 Ni 2.80, 4 Ru 2.80
Np: 0.0000 0.0000 0.5000 (multiplicity 4)  4 Ru 2.80, 4 Ni 2.80
Ni: 0.2500 0.2500 0.7500 (multiplicity 4)  4 Mg 2.80, 4 Np 2.80
Ru: 0.2500 0.2500 0.2500 (multiplicity 4)  4 Mg 2.80, 4 Np 2.80

=====

Copy entry 4 word for word.
The following is a DFT calculation (PBE-GGA) of a relaxed Ce2Ga5Ag3 crystal.

Output
M_tot ... 1.7 μB per formula unit
Volume ... 20.55 Å³ per atom
Calculated formation energy ... -0.3640 eV/atom

Cell lengths 10.5444, 12.6724, 6.1512 Å; angles 90.00, 90.00, 90.00 degrees
With the nearest neighbours (Å) after each atom.
Space group Ibam (No. 72)
Unique sites:
Ce: 0.2328 0.1287 0.0000 (multiplicity 8)  10 Ga 3.29-3.47, 7 Ag 3.35-3.64
Ga: 0.0000 0.0000 0.2500 (multiplicity 4)  4 Ag 2.60
Ga: 0.0000 0.2794 0.2500 (multiplicity 8)  3 Ag 2.61-2.80, 2 Ga 2.62
Ga: 0.1553 0.3862 0.0000 (multiplicity 8)  3 Ag 2.51-2.67, 2 Ga 2.62
Ag: 0.0000 0.5000 0.2500 (multiplicity 4)  6 Ga 2.67-2.80
Ag: 0.1085 0.1392 0.5000 (multiplicity 8)  5 Ga 2.51-2.61

=====

Q: The highest volume belongs to which entry?
A: Cr2PbNCl